Arrangement 1

This record from Alexandria via LeMat-Bulk describes a relaxed structure of BeTcRh. The functional is PBE.

Lattice parameters (Å, degrees): 2.947 6.619 4.044 72.23 90.00 90.00
Fractional positions:
Be: 0.350 0.343 0.391
Be: 0.350 0.683 0.722
Rh: 0.850 0.662 0.233
Rh: 0.850 0.363 0.882
Tc: 0.350 0.012 0.054
Tc: 0.850 0.013 0.555



Arrangement 2

This record from Alexandria via LeMat-Bulk describes a relaxed structure of BeTcRh. The functional is PBE.

Lattice parameters (Å, degrees): 4.676 4.104 7.999 90.00 90.00 90.00
Fractional positions:
Be: 0.658 0.750 0.334
Be: 0.342 0.250 0.666
Be: 0.842 0.250 0.834
Be: 0.158 0.750 0.166
Tc: 0.849 0.250 0.495
Tc: 0.349 0.250 0.005
Tc: 0.151 0.750 0.505
Tc: 0.651 0.750 0.995
Rh: 0.647 0.750 0.670
Rh: 0.353 0.250 0.330
Rh: 0.147 0.750 0.830
Rh: 0.853 0.250 0.170



arrangement 1 (87 meV/atom below the next structure)



Arrangement 1

This record from Alexandria via LeMat-Bulk describes a relaxed structure of Be2Tc2Rh. The functional is PBE.

Lattice parameters (Å, degrees): 6.788 6.788 2.758 90.00 90.00 90.00
Fractional positions:
Rh: 0.500 0.500 0.000
Rh: 0.000 0.000 0.000
Be: 0.177 0.677 0.500
Be: 0.823 0.323 0.500
Be: 0.677 0.823 0.500
Be: 0.323 0.177 0.500
Tc: 0.620 0.120 0.000
Tc: 0.380 0.880 0.000
Tc: 0.120 0.380 0.000
Tc: 0.880 0.620 0.000



Arrangement 2

This record from Alexandria via LeMat-Bulk describes a relaxed structure of Be2Tc2Rh. The functional is PBE.

Lattice parameters (Å, degrees): 4.163 4.163 4.815 64.38 64.38 90.00
Fractional positions:
Be: 0.750 0.250 0.500
Be: 0.250 0.750 0.500
Tc: 0.354 0.354 0.293
Tc: 0.646 0.646 0.707
Rh: 0.000 0.000 0.000



arrangement 1 (269 meV/atom below the next structure)



Arrangement 1

This record from Alexandria via LeMat-Bulk describes a relaxed structure of BeTeRh2. The functional is PBE.

Lattice parameters (Å, degrees): 5.943 5.943 5.943 35.33 35.33 35.33
Fractional positions:
Te: 0.250 0.250 0.250
Rh: 0.027 0.027 0.027
Rh: 0.473 0.473 0.473
Be: 0.750 0.750 0.750



Arrangement 2

This record from Alexandria via LeMat-Bulk describes a relaxed structure of BeTeRh2. The functional is PBE.

Lattice parameters (Å, degrees): 4.375 4.375 4.375 60.00 60.00 60.00
Fractional positions:
Te: 0.500 0.500 0.500
Rh: 0.250 0.250 0.250
Rh: 0.750 0.750 0.750
Be: 0.000 0.000 0.000



arrangement 1 (102 meV/atom below the next structure)